ZrSnI3 (GGA-PBE, optimized geometry); space-group type = No. 221; total magnetization = 0.600 μB/atom; crystal system = cubic; formation energy (no corrections) = -0.07 eV/atom; distance to the lowest polymorph of the same formula = 0.0 meV per atom
1.0
-1.4009 1.1479 5.5017
2.0812 -5.1610 1.6067
5.2206 2.3654 0.8358
I Sn Zr
3 1 1
Cartesian
2.6103 1.1827 0.4179
1.0406 -2.5805 0.8034
-0.7005 0.5739 2.7508
2.9504 -0.8238 3.9721
0.0000 0.0000 0.0000